[1]
Entry from Alexandria via LeMat-Bulk: PmEr2NpP4 after structural relaxation (GGA-PBE).

Structure (POSCAR):
```
PmEr2NpP4
1.0
-0.4327 3.9413 -0.5193
-3.8970 -1.1691 -5.6260
-4.0722 0.2897 5.5913
P Er Pm Np
4 2 1 1
Direct
0.5000 0.7558 0.7489
0.0000 0.2407 0.7455
0.5000 0.2442 0.2511
0.0000 0.7593 0.2545
0.5000 0.0000 0.5000
0.0000 0.5000 0.5000
0.5000 0.5000 0.0000
0.0000 0.0000 0.0000
```

Computed properties:
Total energy ... -7.455 eV/atom
Calculated formation energy ... -1398 meV per atom
Space group ... P2/m, No. 10

=====

[2]
Entry from Alexandria via LeMat-Bulk: Sc2HICl after structural relaxation (GGA-PBE).

Structure (POSCAR):
```
Sc2HICl
1.0
5.5479 0.0000 0.0000
0.0000 3.8806 0.0000
0.0000 0.0000 5.5479
Sc I Cl H
2 1 1 1
Direct
0.0000 0.0000 0.5000
0.5000 0.0000 0.0000
0.0000 0.0000 0.0000
0.5000 0.5000 0.5000
0.0000 0.5000 0.0000
```

Computed properties:
Total energy ... -3.567 eV/atom
Space group ... P4/mmm, No. 123

=====

[3]
Entry from Alexandria via LeMat-Bulk: HfZnNiPd after structural relaxation (GGA-PBE).

Structure (POSCAR):
```
HfZnNiPd
1.0
4.4240 0.0000 0.0000
2.2120 3.8313 0.0000
2.2120 1.2771 3.6122
Ni Zn Pd Hf
1 1 1 1
Direct
0.2500 0.2500 0.2500
0.5000 0.5000 0.5000
0.7500 0.7500 0.7500
0.0000 0.0000 0.0000
```

Computed properties:
Total energy ... -6.065 eV/atom
Calculated formation energy ... -515 meV per atom
Excess energy over the best structure of this formula in the dataset ... 3.2 meV/atom
Space group ... F-43m, No. 216

=====

[4]
Entry from Alexandria via LeMat-Bulk: Er2ScTlO6 after structural relaxation (GGA-PBE).

Structure (POSCAR):
```
Er2ScTlO6
1.0
5.6694 0.0000 0.0003
2.8347 4.9100 0.0002
2.8347 1.6369 5.0015
O Sc Er Tl
6 1 2 1
Direct
0.4381 0.7189 0.7410
0.9097 0.6325 0.2579
0.1020 0.4381 0.7411
0.7189 0.1020 0.7411
0.6325 0.2000 0.2578
0.1999 0.9097 0.2579
0.8112 0.8111 0.5665
0.5199 0.5199 0.4404
0.0260 0.0260 0.9219
0.3034 0.3034 0.0897
```

Computed properties:
Formation energy from raw total energies ... -2.825 eV per atom
Total energy ... -7.583 eV/atom
Space group ... R3, No. 146

=====

[5]
Entry from Alexandria via LeMat-Bulk: NaZr2GeAu after structural relaxation (GGA-PBE).

Structure (POSCAR):
```
NaZr2GeAu
1.0
-1.3626 4.0102 2.6149
1.6490 -1.9634 3.8704
4.4490 2.0647 -0.8481
Zr Ge Au Na
2 1 1 1
Direct
0.5000 0.0000 0.0000
0.0000 0.0000 0.5000
0.5000 0.5000 0.5000
0.0000 0.5000 0.0000
0.0000 0.0000 0.0000
```

Computed properties:
Total energy ... -4.152 eV/atom
Calculated formation energy ... 1110 meV per atom
Space group ... P4/mmm, No. 123

=====

[6]
Entry from Alexandria via LeMat-Bulk: LiVSe3 after structural relaxation (GGA-PBE).

Structure (POSCAR):
```
LiVSe3
1.0
3.9719 0.0000 2.9847
-1.9860 3.4398 2.9847
-1.9860 -3.4398 2.9847
V Se Li
1 3 1
Direct
0.5460 0.5460 0.5460
0.6215 0.0902 0.6215
0.0902 0.6215 0.6215
0.6215 0.6215 0.0902
0.9959 0.9959 0.9959
```

Computed properties:
Formation energy from raw total energies ... -0.459 eV per atom
Total energy ... -4.756 eV/atom
Excess energy over the best structure of this formula in the dataset ... 284.5 meV/atom
Space group ... R3m, No. 160

=====

[7]
Entry from Alexandria via LeMat-Bulk: Zr5W after structural relaxation (GGA-PBE).

Structure (POSCAR):
```
Zr5W
1.0
-1.0419 3.1537 0.2985
-3.1384 -1.0704 0.3540
1.5201 -0.6014 11.6588
W Zr
1 5
Direct
0.5000 0.5000 0.0000
0.5000 0.5000 0.3202
0.0000 0.0000 0.5000
0.5000 0.5000 0.6798
0.0000 0.0000 0.8604
0.0000 0.0000 0.1396
```

Computed properties:
Total energy ... -9.185 eV/atom
Calculated formation energy ... 97 meV per atom
Excess energy over the best structure of this formula in the dataset ... 25.7 meV/atom
Space group ... P4/mmm, No. 123

=====

[8]
Entry from Alexandria via LeMat-Bulk: GeHS3 after structural relaxation (GGA-PBE).

Structure (POSCAR):
```
GeHS3
1.0
3.2027 0.0000 0.0000
0.0000 7.0222 0.0000
-1.6014 0.0000 10.1001
S Ge H
6 2 2
Direct
0.7766 0.5981 0.5533
0.5813 0.3491 0.1627
0.4187 0.8491 0.8373
0.0923 0.8766 0.1846
0.2234 0.0981 0.4467
0.9077 0.3766 0.8154
0.3601 0.5737 0.7202
0.6399 0.0737 0.2798
0.0983 0.3966 0.1967
0.9017 0.8966 0.8033
```

Computed properties:
Total energy ... -3.934 eV/atom
Excess energy over the best structure of this formula in the dataset ... 0.0 meV/atom
Space group ... Cmc2_1, No. 36